# KNiCl2

KNiCl2 after structural relaxation (GGA-PBEsol, the Alexandria database). Values from VASP.

Geometry as Quantum ESPRESSO input:
```
&SYSTEM
  ibrav = 0, nat = 4, ntyp = 3
/
ATOMIC_SPECIES
Ni 58.69 Ni.upf
K 39.10 K.upf
Cl 35.45 Cl.upf
CELL_PARAMETERS angstrom
-0.963 -0.284 3.715
-1.660 -3.402 -0.691
6.643 -0.995 -0.347
ATOMIC_POSITIONS angstrom
Ni 1.836 -3.120 0.237
K -1.311 -1.843 1.512
Cl 0.000 0.000 0.000
Cl 2.185 -1.561 2.440
```

Calculated values
Formation energy without anion corrections (kJ/mol of atoms): -39.7
Energy above the most stable polymorph in this dataset (meV/atom): 76
E (eV/atom): -3.24